[1]
The following is a DFT calculation (meta-GGA SCAN) of a crystal of CrCl2O relaxed with PBEsol.

Cell and atoms, written as POSCAR:
```
CrCl2O
1.0
-4.435 4.435 1.752
4.435 -4.435 1.752
4.435 4.435 -1.752
Cr Cl O
2 4 2
direct
0.000 0.000 0.000
0.750 0.250 0.500
0.375 0.036 0.161
0.786 0.625 0.661
0.875 0.214 0.839
0.964 0.125 0.339
0.250 0.750 0.500
0.500 0.500 0.000
```

## Properties
Space-group type: I-42d
Calculated total energy in eV per atom: -11.396
Formation energy from raw total energies in eV per atom: -1.2532

---

[2]
The following is a DFT calculation (meta-GGA SCAN) of a crystal of CrS2ClO relaxed with PBEsol.

Cell and atoms, written as POSCAR:
```
CrS2ClO
1.0
4.336 0.000 0.000
0.000 4.336 0.000
0.000 0.000 4.673
Cr S Cl O
1 2 1 1
direct
0.000 0.000 0.000
0.000 0.500 0.000
0.500 0.000 0.000
0.000 0.000 0.500
0.500 0.500 0.500
```

## Properties
Space-group type: P4/mmm
Calculated total energy in eV per atom: -10.050
Formation energy from raw total energies in eV per atom: 0.3195

---

[3]
The following is a DFT calculation (meta-GGA SCAN) of a crystal of Sr2CrClO4 relaxed with PBEsol.

Cell and atoms, written as POSCAR:
```
Sr2CrClO4
1.0
6.477 0.000 0.000
0.000 7.449 0.000
0.000 0.000 11.348
Sr Cr Cl O
8 4 4 16
direct
0.123 0.250 0.000
0.123 0.250 0.500
0.362 0.536 0.250
0.362 0.964 0.750
0.638 0.036 0.250
0.638 0.464 0.750
0.877 0.750 0.000
0.877 0.750 0.500
0.374 0.750 0.000
0.374 0.750 0.500
0.626 0.250 0.000
0.626 0.250 0.500
0.015 0.682 0.750
0.015 0.818 0.250
0.985 0.182 0.750
0.985 0.318 0.250
0.216 0.575 0.032
0.216 0.575 0.468
0.216 0.925 0.532
0.216 0.925 0.968
0.468 0.227 0.619
0.468 0.227 0.881
0.468 0.273 0.119
0.468 0.273 0.381
0.532 0.727 0.619
0.532 0.727 0.881
0.532 0.773 0.119
0.532 0.773 0.381
0.784 0.075 0.032
0.784 0.075 0.468
0.784 0.425 0.532
0.784 0.425 0.968
```

## Properties
Space-group type: Pbcm
Calculated total energy in eV per atom: -14.787
Formation energy from raw total energies in eV per atom: -2.8069

---

[4]
The following is a DFT calculation (meta-GGA SCAN) of a crystal of CrOs2Cl relaxed with PBEsol.

Cell and atoms, written as POSCAR:
```
CrOs2Cl
1.0
2.708 0.000 0.000
0.000 2.708 0.000
0.000 0.000 8.045
Cr Os Cl
1 2 1
direct
0.000 0.000 0.000
0.000 0.000 0.454
0.500 0.500 0.231
0.500 0.500 0.826
```

## Properties
Space-group type: P4mm
Calculated total energy in eV per atom: -42.029
Formation energy from raw total energies in eV per atom: 0.5011

---

[5]
The following is a DFT calculation (meta-GGA SCAN) of a crystal of CrOs2Cl relaxed with PBEsol.

Cell and atoms, written as POSCAR:
```
CrOs2Cl
1.0
-1.395 2.149 4.340
1.395 -2.149 4.340
1.395 2.149 -4.340
Cr Os Cl
1 2 1
direct
0.000 0.000 0.000
0.279 0.779 0.500
0.545 0.545 0.000
0.793 0.293 0.500
```

## Properties
Space-group type: Imm2
Calculated total energy in eV per atom: -41.512
Formation energy from raw total energies in eV per atom: 1.0185

---

[6]
The following is a DFT calculation (meta-GGA SCAN) of a crystal of CrOsCl2 relaxed with PBEsol.

Cell and atoms, written as POSCAR:
```
CrOsCl2
1.0
1.402 -2.585 0.000
1.402 2.585 0.000
0.000 0.000 8.377
Cr Os Cl
1 1 2
direct
0.000 0.000 0.000
0.000 0.000 0.500
0.500 0.500 0.220
0.500 0.500 0.780
```

## Properties
Space-group type: Cmmm
Calculated total energy in eV per atom: -25.843
Formation energy from raw total energies in eV per atom: 0.7117

---

[7]
The following is a DFT calculation (meta-GGA SCAN) of a crystal of CrOs2Cl relaxed with PBEsol.

Cell and atoms, written as POSCAR:
```
CrOs2Cl
1.0
2.790 0.000 0.000
0.000 3.568 0.000
0.000 0.000 6.526
Cr Os Cl
1 2 1
direct
0.000 0.000 0.000
0.000 0.000 0.402
0.500 0.500 0.233
0.500 0.500 0.794
```

## Properties
Space-group type: Pmm2
Calculated total energy in eV per atom: -42.009
Formation energy from raw total energies in eV per atom: 0.5211

---

[8]
The following is a DFT calculation (meta-GGA SCAN) of a crystal of CrOs2Cl2 relaxed with PBEsol.

Cell and atoms, written as POSCAR:
```
CrOs2Cl2
1.0
-1.911 1.911 5.662
1.911 -1.911 5.662
1.911 1.911 -5.662
Cr Os Cl
1 2 2
direct
0.000 0.000 0.000
0.400 0.400 0.000
0.600 0.600 0.000
0.250 0.750 0.500
0.750 0.250 0.500
```

## Properties
Space-group type: I4/mmm
Calculated total energy in eV per atom: -34.684
Formation energy from raw total energies in eV per atom: 0.9359

---

> Number 2 is which compound?

CrS2ClO

---

> calculated total energy of number 6 (CrOsCl2)?

-25.843 eV per atom

---

> Which of these has the lowest calculated total energy?

number 4

---

> Which of these has the lowest formation energy from raw total energies?

Sr2CrClO4